Entry 1:
VASP calculation (PBE) on a relaxed AlSi2Mo2 crystal.

Computed properties:
Space-group type: I4/mmm, No. 139
Spin magnetization: 0.0000 μB per atom
Formation energy without anion corrections: -123 meV/atom
E above lowest polymorph: 0.1441 eV/atom

POSCAR file:
```
AlSi2Mo2
1.0
-1.707 1.707 6.626
1.707 -1.707 6.626
1.707 1.707 -6.626
Al Si Mo
1 2 2
direct
0.000 0.000 0.000
0.250 0.750 0.500
0.750 0.250 0.500
0.394 0.394 0.000
0.606 0.606 0.000
```

Entry 2:
VASP calculation (PBE) on a relaxed AlSiMo2 crystal.

Computed properties:
Space-group type: I-42d, No. 122
Spin magnetization: 0.0000 μB per atom
Formation energy without anion corrections: 304 meV/atom
E above lowest polymorph: 0.6082 eV/atom

POSCAR file:
```
AlSiMo2
1.0
-3.451 3.451 2.698
3.451 -3.451 2.698
3.451 3.451 -2.698
Al Si Mo
2 2 4
direct
0.000 0.000 0.000
0.750 0.250 0.500
0.250 0.750 0.500
0.500 0.500 0.000
0.153 0.625 0.028
0.375 0.403 0.528
0.597 0.125 0.972
0.875 0.847 0.472
```

Entry 3:
VASP calculation (PBE) on a relaxed AlSi2Mo crystal.

Computed properties:
Space-group type: R-3m, No. 166
Spin magnetization: 0.0000 μB per atom
Formation energy without anion corrections: 39 meV/atom

POSCAR file:
```
AlSi2Mo
1.0
1.514 0.874 7.715
-1.514 0.874 7.715
0.000 -1.749 7.715
Al Si Mo
1 2 1
direct
0.000 0.000 0.000
0.247 0.247 0.247
0.753 0.753 0.753
0.500 0.500 0.500
```

Entry 4:
VASP calculation (PBE) on a relaxed AlSi2Mo crystal.

Computed properties:
Space-group type: Pmmm, No. 47
Spin magnetization: 0.0000 μB per atom
Formation energy without anion corrections: 83 meV/atom

POSCAR file:
```
AlSi2Mo
1.0
3.266 0.000 0.000
0.000 4.055 0.000
0.000 0.000 4.284
Al Si Mo
1 2 1
direct
0.000 0.000 0.000
0.000 0.500 0.500
0.500 0.500 0.000
0.500 0.000 0.500
```

Entry 5:
VASP calculation (PBE) on a relaxed Al2SiMo2 crystal.

Computed properties:
Space-group type: P4/mbm, No. 127
Spin magnetization: 0.0000 μB per atom
Formation energy without anion corrections: -133 meV/atom

POSCAR file:
```
Al2SiMo2
1.0
6.500 0.000 0.000
0.000 6.500 0.000
0.000 0.000 3.780
Al Si Mo
4 2 4
direct
0.145 0.355 0.000
0.355 0.855 0.000
0.645 0.145 0.000
0.855 0.645 0.000
0.000 0.000 0.500
0.500 0.500 0.500
0.158 0.658 0.500
0.342 0.158 0.500
0.658 0.842 0.500
0.842 0.342 0.500
```

Entry 6:
VASP calculation (PBE) on a relaxed Al2SiMo crystal.

Computed properties:
Space-group type: I4/mmm, No. 139
Spin magnetization: 0.2020 μB per atom
Formation energy without anion corrections: -127 meV/atom

POSCAR file:
```
Al2SiMo
1.0
-1.879 1.879 4.159
1.879 -1.879 4.159
1.879 1.879 -4.159
Al Si Mo
2 1 1
direct
0.250 0.750 0.500
0.750 0.250 0.500
0.000 0.000 0.000
0.500 0.500 0.000
```

Entry 7:
VASP calculation (PBE) on a relaxed AlSi2Mo crystal.

Computed properties:
Space-group type: Immm, No. 71
Spin magnetization: 0.0000 μB per atom
Formation energy without anion corrections: -83 meV/atom

POSCAR file:
```
AlSi2Mo
1.0
-1.688 2.182 3.872
1.688 -2.182 3.872
1.688 2.182 -3.872
Al Si Mo
1 2 1
direct
0.000 0.000 0.000
0.245 0.745 0.500
0.755 0.255 0.500
0.500 0.500 0.000
```

Entry 8:
VASP calculation (PBE) on a relaxed AlSi2Mo crystal.

Computed properties:
Space-group type: P4/mmm, No. 123
Spin magnetization: 0.0001 μB per atom
Formation energy without anion corrections: 125 meV/atom

POSCAR file:
```
AlSi2Mo
1.0
2.827 0.000 0.000
0.000 2.827 0.000
0.000 0.000 7.480
Al Si Mo
1 2 1
direct
0.000 0.000 0.000
0.500 0.500 0.264
0.500 0.500 0.736
0.000 0.000 0.500
```

Entry 9:
VASP calculation (PBE) on a relaxed Al2SiMo crystal.

Computed properties:
Space-group type: R3m, No. 160
Spin magnetization: 0.1116 μB per atom
Formation energy without anion corrections: 27 meV/atom

POSCAR file:
```
Al2SiMo
1.0
1.478 0.853 8.342
-1.478 0.853 8.342
0.000 -1.706 8.342
Al Si Mo
2 1 1
direct
0.000 0.000 0.000
0.243 0.243 0.243
0.751 0.751 0.751
0.492 0.492 0.492
```

Entry 10:
VASP calculation (PBE) on a relaxed AlSi2Mo crystal.

Computed properties:
Space-group type: I-42d, No. 122
Spin magnetization: 0.1956 μB per atom
Formation energy without anion corrections: 754 meV/atom

POSCAR file:
```
AlSi2Mo
1.0
-2.964 2.964 5.151
2.964 -2.964 5.151
2.964 2.964 -5.151
Al Si Mo
2 4 2
direct
0.000 0.000 0.000
0.750 0.250 0.500
0.137 0.625 0.012
0.375 0.387 0.512
0.613 0.125 0.988
0.875 0.863 0.488
0.250 0.750 0.500
0.500 0.500 0.000
```

Entry 11:
VASP calculation (PBE) on a relaxed AlSi2Mo crystal.

Computed properties:
Space-group type: P4mm, No. 99
Spin magnetization: 0.0000 μB per atom
Formation energy without anion corrections: -172 meV/atom

POSCAR file:
```
AlSi2Mo
1.0
3.312 0.000 0.000
0.000 3.312 0.000
0.000 0.000 5.184
Al Si Mo
1 2 1
direct
0.000 0.000 0.000
0.000 0.000 0.502
0.500 0.500 0.757
0.500 0.500 0.269
```

Entry 12:
VASP calculation (PBE) on a relaxed AlSiMo3 crystal.

Computed properties:
Space-group type: Pm-3m, No. 221
Spin magnetization: 0.1856 μB per atom
Formation energy without anion corrections: 856 meV/atom
E above lowest polymorph: 0.0000 eV/atom

POSCAR file:
```
AlSiMo3
1.0
4.491 0.000 0.000
0.000 4.491 0.000
0.000 0.000 4.491
Al Si Mo
1 1 3
direct
0.000 0.000 0.000
0.500 0.500 0.500
0.000 0.500 0.500
0.500 0.000 0.500
0.500 0.500 0.000
```

Entry 13:
VASP calculation (PBE) on a relaxed AlSiMo2 crystal.

Computed properties:
Space-group type: P4/mmm, No. 123
Spin magnetization: 0.0000 μB per atom
Formation energy without anion corrections: -85 meV/atom
E above lowest polymorph: 0.2193 eV/atom

POSCAR file:
```
AlSiMo2
1.0
3.068 0.000 0.000
0.000 3.068 0.000
0.000 0.000 6.303
Al Si Mo
1 1 2
direct
0.000 0.000 0.000
0.000 0.000 0.500
0.500 0.500 0.279
0.500 0.500 0.721
```

Entry 14:
VASP calculation (PBE) on a relaxed AlSiMo2 crystal.

Computed properties:
Space-group type: I4/mmm, No. 139
Spin magnetization: 0.0000 μB per atom
Formation energy without anion corrections: 5 meV/atom
E above lowest polymorph: 0.3094 eV/atom

POSCAR file:
```
AlSiMo2
1.0
-1.917 1.917 4.017
1.917 -1.917 4.017
1.917 1.917 -4.017
Al Si Mo
1 1 2
direct
0.000 0.000 0.000
0.500 0.500 0.000
0.250 0.750 0.500
0.750 0.250 0.500
```

Entry 15:
VASP calculation (PBE) on a relaxed AlSiMo2 crystal.

Computed properties:
Space-group type: P4mm, No. 99
Spin magnetization: 0.0000 μB per atom
Formation energy without anion corrections: -304 meV/atom
E above lowest polymorph: 0.0000 eV/atom

POSCAR file:
```
AlSiMo2
1.0
3.219 0.000 0.000
0.000 3.219 0.000
0.000 0.000 5.678
Al Si Mo
1 1 2
direct
0.000 0.000 0.000
0.500 0.500 0.752
0.000 0.000 0.516
0.500 0.500 0.251
```

Entry 16:
VASP calculation (PBE) on a relaxed Al2SiMo crystal.

Computed properties:
Space-group type: F-43m, No. 216
Spin magnetization: 0.0000 μB per atom
Formation energy without anion corrections: 208 meV/atom

POSCAR file:
```
Al2SiMo
1.0
0.000 3.098 3.098
3.098 0.000 3.098
3.098 3.098 0.000
Al Si Mo
2 1 1
direct
0.000 0.000 0.000
0.250 0.250 0.250
0.500 0.500 0.500
0.750 0.750 0.750
```

Entry 17:
VASP calculation (PBE) on a relaxed Al2SiMo crystal.

Computed properties:
Space-group type: C2, No. 5
Spin magnetization: 0.0000 μB per atom
Formation energy without anion corrections: -21 meV/atom

POSCAR file:
```
Al2SiMo
1.0
3.517 -4.124 0.000
3.517 4.124 0.000
-0.009 0.000 8.482
Al Si Mo
8 4 4
direct
0.062 0.547 0.222
0.179 0.179 0.010
0.247 0.338 0.473
0.444 0.023 0.244
0.453 0.938 0.778
0.662 0.753 0.527
0.821 0.821 0.990
0.977 0.556 0.756
0.184 0.816 0.500
0.379 0.621 0.000
0.447 0.396 0.746
0.604 0.553 0.254
0.689 0.311 0.000
0.726 0.274 0.500
0.935 0.015 0.286
0.985 0.065 0.714
```

Entry 18:
VASP calculation (PBE) on a relaxed Al2SiMo crystal.

Computed properties:
Space-group type: Cmm2, No. 35
Spin magnetization: 0.0000 μB per atom
Formation energy without anion corrections: 26 meV/atom

POSCAR file:
```
Al2SiMo
1.0
1.761 -2.176 0.000
1.761 2.176 0.000
0.000 0.000 8.069
Al Si Mo
2 1 1
direct
0.000 0.000 0.000
0.500 0.500 0.267
0.000 0.000 0.519
0.500 0.500 0.750
```

Entry 19:
VASP calculation (PBE) on a relaxed Al2SiMo crystal.

Computed properties:
Space-group type: Cm, No. 8
Spin magnetization: 0.0000 μB per atom
Formation energy without anion corrections: -96 meV/atom

POSCAR file:
```
Al2SiMo
1.0
4.636 -1.389 0.000
4.636 1.389 0.000
-0.424 0.000 4.689
Al Si Mo
2 1 1
direct
0.000 0.000 0.000
0.249 0.249 0.758
0.481 0.481 0.479
0.742 0.742 0.258
```

Entry 20:
VASP calculation (PBE) on a relaxed Al2SiMo crystal.

Computed properties:
Space-group type: I-42d, No. 122
Spin magnetization: 0.0000 μB per atom
Formation energy without anion corrections: 410 meV/atom

POSCAR file:
```
Al2SiMo
1.0
-3.606 3.606 2.541
3.606 -3.606 2.541
3.606 3.606 -2.541
Al Si Mo
4 2 2
direct
0.100 0.125 0.475
0.375 0.900 0.025
0.650 0.625 0.525
0.875 0.350 0.975
0.000 0.000 0.000
0.750 0.250 0.500
0.250 0.750 0.500
0.500 0.500 0.000
```